A plane-wave DFT calculation with PBE was carried out for a relaxed structure of Dy2AlGa8.

Energy in eV/f.u.: -41.0
Energy of formation from the pure elements in eV per formula unit: -3.9
Calculated volume in A^3/atom: 19.7
N(E_F) in states/eV per atom: 0.35

a = 4.406 Å, b = 4.406 Å, c = 11.166 Å
α = 90.00°, β = 90.00°, γ = 90.00°
Space group P4/mmm (No. 123)
One atom of each set of equivalent atoms:
Dy: 0.000 0.000 0.189 (multiplicity 2)
Al: 0.000 0.000 0.500 (multiplicity 1)
Ga: 0.000 0.500 0.000 (multiplicity 2)
Ga: 0.000 0.500 0.371 (multiplicity 4)
Ga: 0.500 0.500 0.184 (multiplicity 2)

A plane-wave DFT calculation with PBE was carried out for a relaxed structure of Dy7Al2Ga2.

Energy in eV/f.u.: -46.7
Energy of formation from the pure elements in eV per formula unit: -0.9
Calculated volume in A^3/atom: 28.0
N(E_F) in states/eV per atom: 1.19

a = 7.381 Å, b = 10.875 Å, c = 7.688 Å
α = 90.00°, β = 90.00°, γ = 90.00°
Space group Cmmm (No. 65)
One atom of each set of equivalent atoms:
Dy: 0.000 0.000 0.000 (multiplicity 2)
Dy: 0.000 0.500 0.263 (multiplicity 4)
Dy: 0.250 0.250 0.290 (multiplicity 8)
Al: 0.000 0.291 0.000 (multiplicity 4)
Ga: 0.173 0.000 0.500 (multiplicity 4)

A plane-wave DFT calculation with PBE was carried out for a relaxed structure of Dy4AlGa3.

Energy in eV/f.u.: -35.8
Energy of formation from the pure elements in eV per formula unit: -4.6
Calculated volume in A^3/atom: 24.3
N(E_F) in states/eV per atom: 0.84

a = 4.053 Å, b = 4.382 Å, c = 10.961 Å
α = 90.00°, β = 90.00°, γ = 90.00°
Space group Pmm2 (No. 25)
One atom of each set of equivalent atoms:
Dy: 0.000 0.000 0.000 (multiplicity 1)
Dy: 0.000 0.500 0.496 (multiplicity 1)
Dy: 0.500 0.000 0.717 (multiplicity 1)
Dy: 0.500 0.500 0.220 (multiplicity 1)
Al: 0.000 0.500 0.787 (multiplicity 1)
Ga: 0.000 0.000 0.282 (multiplicity 1)
Ga: 0.500 0.000 0.434 (multiplicity 1)
Ga: 0.500 0.500 0.938 (multiplicity 1)

A plane-wave DFT calculation with PBE was carried out for a relaxed structure of Dy4Al2Ga.

Energy in eV/f.u.: -31.0
Energy of formation from the pure elements in eV per formula unit: -2.0
Calculated volume in A^3/atom: 26.0
N(E_F) in states/eV per atom: 0.90

a = 5.0475 Å, b = 5.0475 Å, c = 24.7552 Å
α = 90.00°, β = 90.00°, γ = 120.00°
Space group R-3m (No. 166, hexagonal axes)
One atom of each set of equivalent atoms:
Dy: 0.0000 0.0000 0.1214 (multiplicity 6)
Dy: 0.0000 0.0000 0.3730 (multiplicity 6)
Al: 0.0000 0.0000 0.2497 (multiplicity 6)
Ga: 0.0000 0.0000 0.5000 (multiplicity 3)

A plane-wave DFT calculation with PBE was carried out for a relaxed structure of DyAlGa3.

Energy in eV/f.u.: -18.7
Energy of formation from the pure elements in eV per formula unit: -1.3
Calculated volume in A^3/atom: 20.0
N(E_F) in states/eV per atom: 0.44

a = 4.309 Å, b = 6.706 Å, c = 6.930 Å
α = 90.00°, β = 90.00°, γ = 90.00°
Space group Pmmn (No. 59, origin choice 2)
One atom of each set of equivalent atoms:
Dy: 0.250 0.250 0.182 (multiplicity 2)
Al: 0.250 0.750 0.480 (multiplicity 2)
Ga: 0.250 0.057 0.716 (multiplicity 4)
Ga: 0.250 0.750 0.107 (multiplicity 2)

A plane-wave DFT calculation with PBE was carried out for a relaxed structure of Dy3Al4Ga4.

Energy in eV/f.u.: -45.9
Energy of formation from the pure elements in eV per formula unit: -5.0
Calculated volume in A^3/atom: 20.1
N(E_F) in states/eV per atom: 0.48

a = 4.220 Å, b = 7.141 Å, c = 14.660 Å
α = 90.00°, β = 90.00°, γ = 90.00°
Space group Immm (No. 71)
One atom of each set of equivalent atoms:
Dy: 0.000 0.000 0.000 (multiplicity 2)
Dy: 0.000 0.500 0.125 (multiplicity 4)
Al: 0.000 0.314 0.341 (multiplicity 8)
Ga: 0.000 0.000 0.221 (multiplicity 4)
Ga: 0.000 0.180 0.500 (multiplicity 4)